# 1
# PBE Zr2OsPbAu, optimized geometry
data_Zr2OsPbAu
_symmetry_space_group_name_H-M 'P 1'
_symmetry_Int_Tables_number 1
_cell_length_a 5.118
_cell_length_b 5.118
_cell_length_c 4.944
_cell_angle_alpha 90.00
_cell_angle_beta 90.00
_cell_angle_gamma 90.00
loop_
_symmetry_equiv_pos_as_xyz
'x,y,z'
loop_
_atom_site_label
_atom_site_fract_x
_atom_site_fract_y
_atom_site_fract_z
Zr1 0.000 0.500 0.000
Zr2 0.500 0.000 0.000
Os1 0.000 0.000 0.500
Pb1 0.500 0.500 0.500
Au1 0.000 0.000 0.000
# size of the total moment = 0.144 μB/atom


# 2
# PBE BeNiP2S, optimized geometry
data_BeNiP2S
_symmetry_space_group_name_H-M 'P 1'
_symmetry_Int_Tables_number 1
_cell_length_a 4.119
_cell_length_b 4.119
_cell_length_c 4.345
_cell_angle_alpha 90.00
_cell_angle_beta 90.00
_cell_angle_gamma 90.00
loop_
_symmetry_equiv_pos_as_xyz
'x,y,z'
loop_
_atom_site_label
_atom_site_fract_x
_atom_site_fract_y
_atom_site_fract_z
Be1 0.000 0.000 0.000
Ni1 0.500 0.500 0.500
P1 0.000 0.500 0.000
P2 0.500 0.000 0.000
S1 0.000 0.000 0.500
# size of the total moment = 0.000 μB/atom
# formation energy without anion corrections = 0.78 eV per atom
# polymorph energy (0 for the lowest one) = 0 meV/atom


# 3
# PBE NpB6W2, optimized geometry
data_NpB6W2
_symmetry_space_group_name_H-M 'P 1'
_symmetry_Int_Tables_number 1
_cell_length_a 5.454
_cell_length_b 5.454
_cell_length_c 3.371
_cell_angle_alpha 90.00
_cell_angle_beta 90.00
_cell_angle_gamma 120.00
loop_
_symmetry_equiv_pos_as_xyz
'x,y,z'
loop_
_atom_site_label
_atom_site_fract_x
_atom_site_fract_y
_atom_site_fract_z
Np1 0.000 0.000 0.000
B1 0.000 0.339 0.500
B2 0.000 0.661 0.500
B3 0.339 0.000 0.500
B4 0.339 0.339 0.500
B5 0.661 0.000 0.500
B6 0.661 0.661 0.500
W1 0.333 0.667 0.000
W2 0.667 0.333 0.000
# size of the total moment = 0.183 μB/atom


# 4
# PBE La8Nd3In, optimized geometry
data_La8Nd3In
_symmetry_space_group_name_H-M 'P 1'
_symmetry_Int_Tables_number 1
_cell_length_a 8.587
_cell_length_b 8.587
_cell_length_c 8.587
_cell_angle_alpha 118.42
_cell_angle_beta 118.42
_cell_angle_gamma 92.77
loop_
_symmetry_equiv_pos_as_xyz
'x,y,z'
loop_
_atom_site_label
_atom_site_fract_x
_atom_site_fract_y
_atom_site_fract_z
La1 0.122 0.122 0.745
La2 0.245 0.738 0.000
La3 0.262 0.262 0.508
La4 0.377 0.377 0.255
La5 0.623 0.878 0.000
La6 0.738 0.245 0.000
La7 0.755 0.755 0.492
La8 0.878 0.623 0.000
Nd1 0.250 0.750 0.500
Nd2 0.500 0.500 0.000
Nd3 0.750 0.250 0.500
In1 0.000 0.000 0.000
# size of the total moment = 0.000 μB/atom


| no. | total energy (eV per cell) |
| --- | --- |
| 1 | -30.328 |
| 2 | -20.548 |
| 3 | -81.117 |
| 4 | -52.408 |